Entry a
Entry from the Alexandria database: CePmPd after structural relaxation (PBE).

The magnetization comes out at 0.00 μB/f.u. The calculation puts the density at 8.4 g/cm³.

The space group is P2_1/m (No. 11) and the conventional cell measures 4.068, 4.531 and 8.436 Å, with angles of 90.00, 92.80 and 90.00 degrees. Symmetry generates all atoms from Ce at (0.195, 0.250, 0.473), Pm at (0.263, 0.750, 0.138) and Pd at (0.266, 0.750, 0.786).



Entry b
Entry from the Alexandria database: CePmPd after structural relaxation (PBE).

The magnetization comes out at 0.33 μB/f.u. The calculation puts the density at 8.5 g/cm³.

The space group is I4mm (No. 107) and the conventional cell measures 3.692, 3.692 and 11.211 Å, with angles of 90.00, 90.00 and 90.00 degrees. Symmetry generates all atoms from Ce at (0.000, 0.000, 0.000), Pm at (0.000, 0.000, 0.296) and Pd at (0.000, 0.000, 0.631).



Stability, highest: entry a



Entry a
Entry from the Alexandria database: CePmPd after structural relaxation (PBE).

The magnetization comes out at 1.74 μB/f.u. The calculation puts the density at 7.4 g/cm³.

The space group is F-43m (No. 216) and the conventional cell measures 7.049, 7.049 and 7.049 Å, with angles of 90.00, 90.00 and 90.00 degrees. Symmetry generates all atoms from Ce at (0.000, 0.000, 0.000), Pm at (0.000, 0.000, 0.500) and Pd at (0.250, 0.250, 0.750).



Entry b
Entry from the Alexandria database: CePmPd after structural relaxation (PBE).

The magnetization comes out at 0.55 μB/f.u. The calculation puts the density at 8.7 g/cm³.

The space group is P3m1 (No. 156) and the conventional cell measures 4.7881, 4.7881 and 3.7559 Å, with angles of 90.00, 90.00 and 120.00 degrees. Symmetry generates all atoms from Ce at (0.0000, 0.0000, 0.0000), Pm at (0.6667, 0.3333, 0.6226) and Pd at (0.3333, 0.6667, 0.2935).



Stability, highest: entry b



Entry a
Entry from the Alexandria database: Ce2PmPd after structural relaxation (PBE).

The magnetization comes out at 1.43 μB/f.u. The calculation puts the density at 8.1 g/cm³.

The space group is P4/mmm (No. 123) and the conventional cell measures 3.699, 3.699 and 8.014 Å, with angles of 90.00, 90.00 and 90.00 degrees. Symmetry generates all atoms from Ce at (0.000, 0.000, 0.197), Pm at (0.500, 0.500, 0.500) and Pd at (0.500, 0.500, 0.000).



Entry b
Entry from the Alexandria database: Ce2PmPd after structural relaxation (PBE).

The magnetization comes out at 2.54 μB/f.u. The calculation puts the density at 8.7 g/cm³.

The space group is R-3m (No. 166, hexagonal axes) and the conventional cell measures 5.1909, 5.1909 and 13.0571 Å, with angles of 90.00, 90.00 and 120.00 degrees. Symmetry generates all atoms from Ce at (0.0000, 0.0000, 0.2491), Pm at (0.0000, 0.0000, 0.0000) and Pd at (0.0000, 0.0000, 0.5000).



Stability, highest: entry a



Entry a
Entry from the Alexandria database: CePm2Pd after structural relaxation (PBE).

The magnetization comes out at 0.62 μB/f.u. The calculation puts the density at 8.2 g/cm³.

The space group is P4/mmm (No. 123) and the conventional cell measures 3.603, 3.603 and 8.420 Å, with angles of 90.00, 90.00 and 90.00 degrees. Symmetry generates all atoms from Ce at (0.000, 0.000, 0.000), Pm at (0.500, 0.500, 0.292) and Pd at (0.000, 0.000, 0.500).



Entry b
Entry from the Alexandria database: CePm2Pd after structural relaxation (PBE).

The magnetization comes out at 0.45 μB/f.u. The calculation puts the density at 8.6 g/cm³.

The space group is P4/mmm (No. 123) and the conventional cell measures 5.407, 5.407 and 3.542 Å, with angles of 90.00, 90.00 and 90.00 degrees. Symmetry generates all atoms from Ce at (0.000, 0.000, 0.000), Pm at (0.000, 0.500, 0.500) and Pd at (0.500, 0.500, 0.000).



Entry c
Entry from the Alexandria database: CePm2Pd after structural relaxation (PBE).

The magnetization comes out at 0.00 μB/f.u. The calculation puts the density at 8.9 g/cm³.

The space group is Fm-3m (No. 225) and the conventional cell measures 7.362, 7.362 and 7.362 Å, with angles of 90.00, 90.00 and 90.00 degrees. Symmetry generates all atoms from Ce at (0.000, 0.000, 0.000), Pm at (0.250, 0.250, 0.250) and Pd at (0.000, 0.000, 0.500).



Entry d
Entry from the Alexandria database: CePm2Pd after structural relaxation (PBE).

The magnetization comes out at 1.61 μB/f.u. The calculation puts the density at 7.4 g/cm³.

The space group is R3m (No. 160, hexagonal axes) and the conventional cell measures 3.7913, 3.7913 and 29.1963 Å, with angles of 90.00, 90.00 and 120.00 degrees. Symmetry generates all atoms from Ce at (0.0000, 0.0000, 0.0000), Pm at (0.0000, 0.0000, 0.5655), Pm at (0.0000, 0.0000, 0.7676) and Pd at (0.0000, 0.0000, 0.1664).



Stability, highest: entry a